No. 1
# Ce3Ag (PBE, relaxed)
data_Ce3Ag
_symmetry_space_group_name_H-M 'P 63/m m c'
_symmetry_Int_Tables_number 194
_symmetry_space_group_name_Hall '-P 6c 2c'
_cell_length_a 6.8407
_cell_length_b 6.8407
_cell_length_c 5.1336
_cell_angle_alpha 90.00
_cell_angle_beta 90.00
_cell_angle_gamma 120.00
loop_
_atom_site_label
_atom_site_type_symbol
_atom_site_fract_x
_atom_site_fract_y
_atom_site_fract_z
_atom_site_occupancy
Ce1 Ce 0.1742 0.3484 0.2500 1
Ag1 Ag 0.3333 0.6667 0.7500 1
# ΔE_f: 0.4 eV/f.u.
# energy above the most stable polymorph in this dataset: 129.6 meV/atom
# V: 208.0 Å³/cell
# size of the total moment: 2.7 μB/f.u.
# calculated total energy: -5.060 eV/atom
# crystal system: hexagonal

No. 2
# CeAg3 (PBE, relaxed)
data_CeAg3
_symmetry_space_group_name_H-M 'P m m n'
_symmetry_Int_Tables_number 59
_cell_length_a 5.119
_cell_length_b 6.489
_cell_length_c 5.302
_cell_angle_alpha 90.00
_cell_angle_beta 90.00
_cell_angle_gamma 90.00
loop_
_symmetry_equiv_pos_as_xyz
'x,y,z'
'-x,-y,-z'
'-x+1/2,-y+1/2,z'
'x+1/2,y+1/2,-z'
'x+1/2,-y,-z'
'-x+1/2,y,z'
'-x,y+1/2,-z'
'x,-y+1/2,z'
loop_
_atom_site_label
_atom_site_type_symbol
_atom_site_fract_x
_atom_site_fract_y
_atom_site_fract_z
_atom_site_occupancy
Ce1 Ce 0.250 0.250 0.160 1
Ag1 Ag 0.250 0.506 0.664 1
Ag2 Ag 0.250 0.750 0.199 1
# ΔE_f: -0.4 eV/f.u.
# energy above the most stable polymorph in this dataset: 27.2 meV/atom
# V: 176.1 Å³/cell
# size of the total moment: 1.0 μB/f.u.
# calculated total energy: -3.711 eV/atom
# crystal system: orthorhombic

No. 3
# CeAg (PBE, relaxed)
data_CeAg
_symmetry_space_group_name_H-M 'P 4/m m m'
_symmetry_Int_Tables_number 123
_symmetry_space_group_name_Hall '-P 4 2'
_cell_length_a 3.161
_cell_length_b 3.161
_cell_length_c 4.670
_cell_angle_alpha 90.00
_cell_angle_beta 90.00
_cell_angle_gamma 90.00
loop_
_atom_site_label
_atom_site_type_symbol
_atom_site_fract_x
_atom_site_fract_y
_atom_site_fract_z
_atom_site_occupancy
Ce1 Ce 0.000 0.000 0.000 1
Ag1 Ag 0.500 0.500 0.500 1
# ΔE_f: -0.1 eV/f.u.
# V: 46.7 Å³/cell
# size of the total moment: 0.5 μB/f.u.
# calculated total energy: -4.451 eV/atom
# crystal system: tetragonal

No. 4
# CeAg3 (PBE, relaxed)
data_CeAg3
_symmetry_space_group_name_H-M 'P m m 2'
_symmetry_Int_Tables_number 25
_cell_length_a 3.053
_cell_length_b 5.038
_cell_length_c 5.601
_cell_angle_alpha 90.00
_cell_angle_beta 90.00
_cell_angle_gamma 90.00
loop_
_symmetry_equiv_pos_as_xyz
'x,y,z'
'-x,-y,z'
'-x,y,z'
'x,-y,z'
loop_
_atom_site_label
_atom_site_type_symbol
_atom_site_fract_x
_atom_site_fract_y
_atom_site_fract_z
_atom_site_occupancy
Ce1 Ce 0.000 0.000 0.000 1
Ag1 Ag 0.000 0.500 0.653 1
Ag2 Ag 0.500 0.000 0.502 1
Ag3 Ag 0.500 0.500 0.212 1
# ΔE_f: 0.2 eV/f.u.
# energy above the most stable polymorph in this dataset: 164.7 meV/atom
# V: 86.1 Å³/cell
# size of the total moment: 1.4 μB/f.u.
# calculated total energy: -3.574 eV/atom
# crystal system: orthorhombic